First-principles (GGA-PBE) data for TaAlGa after structural relaxation, as listed in Alexandria via LeMat-Bulk.

## Properties
Its final energy is -6.17 eV/atom. The space group is Immm, No. 71.

Lattice parameters (Å, degrees): 7.170 7.170 7.170 156.60 136.45 50.02
Element x y z (fractional)
Ta  0.172  0.172  0.000
Ta  0.828  0.828  0.000
Al  0.353  0.853  0.500
Al  0.647  0.147  0.500
Ga  0.237  0.500  0.737
Ga  0.763  0.500  0.263